[1]
## Si2MoSe (PBE-GGA)

Data for an optimized crystal structure of Si2MoSe.

a b c (Å): 4.3487 4.3487 4.3487
angles (deg): 111.17 111.17 106.13
Sites, in units of the cell vectors:
Mo 0.5000 0.5000 0.0000
Se 0.7500 0.2500 0.5000
Si 0.0000 0.0000 0.0000
Si 0.2500 0.7500 0.5000

Results
Space group: I-4m2 (119)
Total magnetic moment, μB/cell: 0.009
Calculated total energy, eV per atom: -5.88
Uncorrected formation energy, kJ/mol of formula units: 157


[2]
## Si2MoSe (PBE-GGA)

Data for an optimized crystal structure of Si2MoSe.

a b c (Å): 5.8677 5.8677 6.7121
angles (deg): 64.08 64.08 90.00
Sites, in units of the cell vectors:
Mo 0.0000 0.0000 0.0000
Mo 0.7500 0.2500 0.5000
Si 0.6399 0.1250 0.2500
Si 0.1101 0.6250 0.2500
Si 0.3750 0.3601 0.7500
Si 0.8750 0.8899 0.7500
Se 0.5000 0.5000 0.0000
Se 0.2500 0.7500 0.5000

Results
Space group: I-42d (122)
Total magnetic moment, μB/cell: 0.914
Calculated total energy, eV per atom: -5.67
Uncorrected formation energy, kJ/mol of formula units: 238


[3]
## Si2MoSe (PBE-GGA)

Data for an optimized crystal structure of Si2MoSe.

a b c (Å): 7.3809 7.3809 7.3809
angles (deg): 25.28 25.28 25.28
Sites, in units of the cell vectors:
Mo 0.2500 0.2500 0.2500
Se 0.7500 0.7500 0.7500
Si 0.9982 0.9982 0.9982
Si 0.5018 0.5018 0.5018

Results
Space group: R-3m (166)
Total magnetic moment, μB/cell: 0.000
Calculated total energy, eV per atom: -6.13
Uncorrected formation energy, kJ/mol of formula units: 63


[4]
## Si2MoSe (PBE-GGA)

Data for an optimized crystal structure of Si2MoSe.

a b c (Å): 4.9356 4.9356 4.9356
angles (deg): 139.69 125.97 69.52
Sites, in units of the cell vectors:
Mo 0.5223 0.5223 0.0000
Se 0.2132 0.7132 0.5000
Si 0.9864 0.9864 0.0000
Si 0.7780 0.2780 0.5000

Results
Space group: Imm2 (44)
Total magnetic moment, μB/cell: 0.000
Calculated total energy, eV per atom: -6.04
Uncorrected formation energy, kJ/mol of formula units: 98